No. 1
Ag3Hg2S2I3: optimized geometry, PBE-GGA.

Cell: 14.1985 14.1985 14.1985 Å, 161.66 161.66 26.05°
Positions (direct):
1 Ag 0.0000 0.0000 0.0000
2 Ag 0.3952 0.3952 0.0000
3 Ag 0.6048 0.6048 0.0000
4 Hg 0.2500 0.7500 0.5000
5 Hg 0.7500 0.2500 0.5000
6 S 0.3027 0.3027 0.0000
7 S 0.6973 0.6973 0.0000
8 I 0.1054 0.1054 0.0000
9 I 0.5000 0.5000 0.0000
10 I 0.8946 0.8946 0.0000

Results
* space-group type: I4/mmm

---

No. 2
Cs3Hg2Au4: optimized geometry, PBE-GGA.

Cell: 5.0914 6.9197 10.0623 Å, 70.83 89.66 68.49°
Positions (direct):
1 Cs 0.0000 0.0000 0.0000
2 Cs 0.3798 0.2397 0.6310
3 Cs 0.6202 0.7603 0.3690
4 Hg 0.3065 0.3895 0.2371
5 Hg 0.6935 0.6105 0.7629
6 Au 0.0846 0.8311 0.6308
7 Au 0.2417 0.5156 0.9195
8 Au 0.7583 0.4844 0.0805
9 Au 0.9154 0.1689 0.3692

Results
* space-group type: P-1
* energy relative to the elements: -0.25 eV per atom

---

No. 3
TlZnS2Cl: optimized geometry, PBE-GGA.

Cell: 5.1589 5.1589 5.2431 Å, 90.00 90.00 90.00°
Positions (direct):
1 Tl 0.0000 0.0000 0.0000
2 Zn 0.5000 0.5000 0.5000
3 S 0.0000 0.5000 0.0000
4 S 0.5000 0.0000 0.0000
5 Cl 0.0000 0.0000 0.5000

Results
* space-group type: P4/mmm
* relative energy among the computed polymorphs: 0.5960 eV/atom

---

No. 4
DyHoPbO2: optimized geometry, PBE-GGA.

Cell: 7.5811 7.5811 7.5811 Å, 150.70 150.70 41.92°
Positions (direct):
1 Dy 0.0000 0.0000 0.0000
2 Ho 0.6580 0.6580 0.0000
3 Pb 0.3288 0.3288 0.0000
4 O 0.0798 0.5798 0.5000
5 O 0.5798 0.0798 0.5000

Results
* space-group type: I4mm

---

No. 5
YSbP3: optimized geometry, PBE-GGA.

Cell: 4.9810 4.9810 4.9810 Å, 90.00 90.00 90.00°
Positions (direct):
1 Y 0.0000 0.0000 0.0000
2 Sb 0.5000 0.5000 0.5000
3 P 0.0000 0.5000 0.5000
4 P 0.5000 0.0000 0.5000
5 P 0.5000 0.5000 0.0000

Results
* space-group type: Pm-3m
* relative energy among the computed polymorphs: 0.0000 eV/atom

---

No. 6
CsFe: optimized geometry, PBE-GGA.

Cell: 5.3076 5.3076 5.3076 Å, 60.00 60.00 60.00°
Positions (direct):
1 Cs 0.0000 0.0000 0.0000
2 Fe 0.5000 0.5000 0.5000

Results
* space-group type: Fm-3m
* relative energy among the computed polymorphs: 0.8334 eV/atom
* energy relative to the elements: 1.69 eV per atom

---

No. 7
CeNpMnRu: optimized geometry, PBE-GGA.

Cell: 4.6162 4.6162 4.6162 Å, 60.00 60.00 60.00°
Positions (direct):
1 Ce 0.0000 0.0000 0.0000
2 Np 0.7500 0.7500 0.7500
3 Mn 0.5000 0.5000 0.5000
4 Ru 0.2500 0.2500 0.2500

Results
* space-group type: F-43m
* energy relative to the elements: 0.19 eV per atom

---

No. 8
FeHgPH: optimized geometry, PBE-GGA.

Cell: 4.2724 4.2724 4.9737 Å, 90.86 90.86 37.86°
Positions (direct):
1 Fe 0.0000 0.0000 0.0000
2 Hg 0.4781 0.4781 0.4706
3 P 0.7148 0.7148 0.9506
4 H 0.7436 0.7436 0.6602

Results
* space-group type: Cm
* relative energy among the computed polymorphs: 0.1443 eV/atom

---

no.,raw total energy (eV per formula unit)
1,-22.6
2,-18.5
3,-11.4
4,-35.7
5,-24.8
6,-5.9
7,-36.6
8,-16.7